Entry 1:
Density functional theory data (meta-GGA SCAN) for a crystal of Na2GeAs relaxed with PBEsol.

Lattice parameters (Å, degrees): 4.1184 4.1184 10.5790 101.22 101.22 90.00
Closest atoms and distances in Å follow each position.
Atoms (fractional coordinates):
Na: 0.3704 0.8750 0.2500  4 Na 2.89-2.94, 2 As 2.92, 2 Ge 2.94
Na: 0.8796 0.3750 0.2500  4 Na 2.89-2.94, 2 As 2.92, 2 Ge 2.94
Na: 0.1250 0.1204 0.7500  4 Na 2.89-2.94, 2 As 2.92, 2 Ge 2.94
Na: 0.6250 0.6296 0.7500  4 Na 2.89-2.94, 2 As 2.92, 2 Ge 2.94
As: 0.2500 0.7500 0.5000  4 Ge 2.91, 4 Na 2.92
As: 0.0000 0.0000 0.0000  4 Ge 2.91, 4 Na 2.92
Ge: 0.7500 0.2500 0.5000  4 As 2.91, 4 Na 2.94
Ge: 0.5000 0.5000 0.0000  4 As 2.91, 4 Na 2.94

Output
- space-group type = No. 122

---

Entry 2:
Density functional theory data (meta-GGA SCAN) for a crystal of NaGe2As2 relaxed with PBEsol.

Lattice parameters (Å, degrees): 4.5847 4.5847 6.6187 110.26 110.26 90.00
Closest atoms and distances in Å follow each position.
Atoms (fractional coordinates):
Na: 0.0000 0.0000 0.0000  8 As 3.62, 8 Ge 3.68
As: 0.3600 0.3600 0.7200  4 Ge 2.62
As: 0.6400 0.6400 0.2800  4 Ge 2.62
Ge: 0.2500 0.7500 0.5000  4 As 2.62
Ge: 0.7500 0.2500 0.5000  4 As 2.62

Output
- space-group type = No. 139

---

The following uncorrected energy values (in eV per atom) correspond, in order, to the records above: -11.89, -16.52.